Compound: Cs4NaCd3F12
Source: Alexandria via LeMat-Bulk
Functional: PBE
Structure: optimized geometry

Geometry as POSCAR:
```
Cs4NaCd3F12
1.0
-4.557 4.557 4.557
4.557 -4.557 4.557
4.557 4.557 -4.557
Cs Na Cd F
4 1 3 12
Direct
0.000 0.000 0.500
0.000 0.500 0.000
0.500 0.000 0.000
0.500 0.500 0.500
0.000 0.000 0.000
0.000 0.500 0.500
0.500 0.000 0.500
0.500 0.500 0.000
0.000 0.261 0.261
0.000 0.739 0.739
0.250 0.500 0.750
0.250 0.750 0.500
0.261 0.000 0.261
0.261 0.261 0.000
0.500 0.250 0.750
0.500 0.750 0.250
0.739 0.000 0.739
0.739 0.739 0.000
0.750 0.250 0.500
0.750 0.500 0.250
```

Properties
Electronic total energy = -3.9125 eV/atom
Raw formation energy = -4662 kJ/mol of formula units
Density of states at the Fermi level = 9.24 states/eV/cell



Compound: Cs3NaCd2F9
Source: Alexandria via LeMat-Bulk
Functional: PBE
Structure: optimized geometry

Geometry as POSCAR:
```
Cs3NaCd2F9
1.0
6.418 0.000 0.000
-3.209 5.558 0.000
0.000 0.000 7.898
Cs Na Cd F
3 1 2 9
Direct
0.000 0.000 0.000
0.333 0.667 0.654
0.667 0.333 0.346
0.000 0.000 0.500
0.333 0.667 0.165
0.667 0.333 0.835
0.000 0.500 0.000
0.171 0.342 0.322
0.171 0.829 0.322
0.342 0.171 0.678
0.500 0.000 0.000
0.500 0.500 0.000
0.658 0.829 0.322
0.829 0.171 0.678
0.829 0.658 0.678
```

Properties
Electronic total energy = -3.8974 eV/atom
Raw formation energy = -3465 kJ/mol of formula units
Density of states at the Fermi level = 5.61 states/eV/cell



Compound: Cs2NaCd2F7
Source: Alexandria via LeMat-Bulk
Functional: PBE
Structure: optimized geometry

Geometry as POSCAR:
```
Cs2NaCd2F7
1.0
3.164 -3.205 0.000
3.164 3.205 0.000
-2.640 0.000 11.761
Cs Na Cd F
2 1 2 7
Direct
0.201 0.201 0.366
0.799 0.799 0.634
0.000 0.000 0.000
0.379 0.379 0.815
0.621 0.621 0.185
0.118 0.662 0.174
0.301 0.301 0.624
0.338 0.882 0.826
0.500 0.500 0.000
0.662 0.118 0.174
0.699 0.699 0.376
0.882 0.338 0.826
```

Properties
Electronic total energy = -3.9220 eV/atom
Raw formation energy = -2809 kJ/mol of formula units
Density of states at the Fermi level = 0.00 states/eV/cell



Compound: CsNdCdF6
Source: Alexandria via LeMat-Bulk
Functional: PBE
Structure: optimized geometry

Geometry as POSCAR:
```
CsNdCdF6
1.0
-4.121 4.321 6.009
4.121 -4.321 6.009
4.121 4.321 -6.009
Cs Nd Cd F
2 2 2 12
Direct
0.303 0.053 0.250
0.697 0.947 0.750
0.000 0.500 0.500
0.500 0.500 0.000
0.000 0.000 0.500
0.000 0.500 0.000
0.049 0.407 0.226
0.049 0.824 0.642
0.063 0.813 0.250
0.318 0.176 0.726
0.318 0.593 0.142
0.320 0.570 0.750
0.680 0.430 0.250
0.682 0.407 0.858
0.682 0.824 0.274
0.937 0.187 0.750
0.951 0.176 0.358
0.951 0.593 0.774
```

Properties
Electronic total energy = -5.0980 eV/atom
Raw formation energy = -2713 kJ/mol of formula units
Density of states at the Fermi level = 0.00 states/eV/cell



Compound: Cs2NdCd3F12
Source: Alexandria via LeMat-Bulk
Functional: PBE
Structure: optimized geometry

Geometry as POSCAR:
```
Cs2NdCd3F12
1.0
4.058 2.343 6.852
-4.058 2.343 6.852
0.000 -4.686 6.852
Cs Nd Cd F
2 1 3 12
Direct
0.111 0.111 0.111
0.889 0.889 0.889
0.500 0.500 0.500
0.000 0.500 0.500
0.500 0.000 0.500
0.500 0.500 0.000
0.164 0.580 0.580
0.181 0.181 0.589
0.181 0.589 0.181
0.411 0.819 0.819
0.420 0.420 0.836
0.420 0.836 0.420
0.580 0.164 0.580
0.580 0.580 0.164
0.589 0.181 0.181
0.819 0.411 0.819
0.819 0.819 0.411
0.836 0.420 0.420
```

Properties
Electronic total energy = -4.3685 eV/atom
Raw formation energy = -4531 kJ/mol of formula units
Density of states at the Fermi level = 9.21 states/eV/cell